The following is a DFT calculation (GGA-PBE) of BaTaZn2 after structural relaxation.

Values from the calculation:
The calculation puts the polymorph energy (0 for the lowest one) at 0.277 eV/atom. The value obtained for the total magnetization is 0.8 μB/f.u. The raw total energy comes out at -3.55 eV per atom.

a = 9.8772 Å, b = 3.1207 Å, c = 6.4180 Å
α = 90.00°, β = 101.88°, γ = 90.00°
Space group Cm (No. 8)
One atom of each set of equivalent atoms:
Ba 0.0000 0.0000 0.0000 [2 per cell]
Ta 0.2110 0.0000 0.6241 [2 per cell]
Zn 0.2673 0.5000 0.3095 [2 per cell]
Zn 0.4738 0.0000 0.5237 [2 per cell]